A plane-wave DFT calculation with GGA-PBE was carried out for a relaxed HoEr3In3 crystal.

CIF file:
```
data_HoEr3In3
_chemical_formula_sum 'Ho2 Er6 In6'
_cell_length_a 9.2516
_cell_length_b 9.2516
_cell_length_c 5.1445
_cell_angle_alpha 90.00
_cell_angle_beta 90.00
_cell_angle_gamma 120.00
_space_group_name_H-M_alt 'P 63/m'
_space_group_IT_number 176
_space_group_name_Hall '-P 6c'
loop_
_atom_site_label
_atom_site_type_symbol
_atom_site_fract_x
_atom_site_fract_y
_atom_site_fract_z
Ho1 Ho 0.3333 0.6667 0.2500
Er1 Er 0.0043 0.2327 0.2500
In1 In 0.0727 0.4548 0.7500
```

Calculated values
* distance to the lowest polymorph of the same formula: 0 kJ/mol of formula units
* calculated volume: 27.2 Å³ per atom
* crystal system: hexagonal
* total energy: -4.110 eV/atom
* calculated formation energy: -0.33 eV per atom

---

A plane-wave DFT calculation with GGA-PBE was carried out for a relaxed Ho8Er3In2 crystal.

CIF file:
```
data_Ho8Er3In2
_chemical_formula_sum 'Ho8 Er3 In2'
_cell_length_a 8.160
_cell_length_b 5.478
_cell_length_c 9.994
_cell_angle_alpha 90.00
_cell_angle_beta 114.05
_cell_angle_gamma 90.00
_space_group_name_H-M_alt 'P 1 2/m 1'
_space_group_IT_number 10
loop_
_space_group_symop_operation_xyz
'x,y,z'
'-x,-y,-z'
'-x,y,-z'
'x,-y,z'
loop_
_atom_site_label
_atom_site_type_symbol
_atom_site_fract_x
_atom_site_fract_y
_atom_site_fract_z
Ho1 Ho 0.090 0.000 0.267
Ho2 Ho 0.176 0.500 0.853
Ho3 Ho 0.322 0.000 0.733
Ho4 Ho 0.371 0.500 0.241
Er1 Er 0.203 0.500 0.500
Er2 Er 0.500 0.000 0.500
In1 In 0.269 0.000 0.036
```

Calculated values
* calculated volume: 31.4 Å³ per atom
* crystal system: monoclinic
* total energy: -4.264 eV/atom
* calculated formation energy: 0.03 eV per atom

---

A plane-wave DFT calculation with GGA-PBE was carried out for a relaxed Ho3Er3In2 crystal.

CIF file:
```
data_Ho3Er3In2
_chemical_formula_sum 'Ho12 Er12 In8'
_cell_length_a 5.120
_cell_length_b 11.679
_cell_length_c 15.784
_cell_angle_alpha 90.00
_cell_angle_beta 90.00
_cell_angle_gamma 90.00
_space_group_name_H-M_alt 'C m c m'
_space_group_IT_number 63
_space_group_name_Hall '-C 2c 2'
loop_
_atom_site_label
_atom_site_type_symbol
_atom_site_fract_x
_atom_site_fract_y
_atom_site_fract_z
Ho1 Ho 0.000 0.041 0.103
Ho2 Ho 0.000 0.254 0.250
Er1 Er 0.000 0.358 0.033
Er2 Er 0.000 0.465 0.750
In1 In 0.000 0.228 0.641
```

Calculated values
* distance to the lowest polymorph of the same formula: 86 kJ/mol of formula units
* calculated volume: 29.5 Å³ per atom
* crystal system: orthorhombic
* total energy: -4.264 eV/atom
* calculated formation energy: -0.15 eV per atom

---

A plane-wave DFT calculation with GGA-PBE was carried out for a relaxed Ho3Er12In crystal.

CIF file:
```
data_Ho3Er12In
_chemical_formula_sum 'Ho3 Er12 In1'
_cell_length_a 4.908
_cell_length_b 4.908
_cell_length_c 19.890
_cell_angle_alpha 90.00
_cell_angle_beta 90.00
_cell_angle_gamma 90.00
_space_group_name_H-M_alt 'P 4/m m m'
_space_group_IT_number 123
_space_group_name_Hall '-P 4 2'
loop_
_atom_site_label
_atom_site_type_symbol
_atom_site_fract_x
_atom_site_fract_y
_atom_site_fract_z
Ho1 Ho 0.000 0.000 0.000
Ho2 Ho 0.000 0.000 0.251
Er1 Er 0.000 0.500 0.126
Er2 Er 0.000 0.500 0.379
Er3 Er 0.500 0.500 0.000
Er4 Er 0.500 0.500 0.255
Er5 Er 0.500 0.500 0.500
In1 In 0.000 0.000 0.500
```

Calculated values
* calculated volume: 29.9 Å³ per atom
* crystal system: tetragonal
* total energy: -4.496 eV/atom
* calculated formation energy: -0.04 eV per atom

---

A plane-wave DFT calculation with GGA-PBE was carried out for a relaxed Ho6Er3In crystal.

CIF file:
```
data_Ho6Er3In
_chemical_formula_sum 'Ho12 Er6 In2'
_cell_length_a 9.547
_cell_length_b 5.512
_cell_length_c 12.314
_cell_angle_alpha 90.00
_cell_angle_beta 110.90
_cell_angle_gamma 90.00
_space_group_name_H-M_alt 'P 1 21/m 1'
_space_group_IT_number 11
loop_
_space_group_symop_operation_xyz
'x,y,z'
'-x,-y,-z'
'-x,y+1/2,-z'
'x,-y+1/2,z'
loop_
_atom_site_label
_atom_site_type_symbol
_atom_site_fract_x
_atom_site_fract_y
_atom_site_fract_z
Ho1 Ho 0.039 0.250 0.431
Ho2 Ho 0.189 0.750 0.168
Ho3 Ho 0.257 0.250 0.011
Ho4 Ho 0.345 0.750 0.796
Ho5 Ho 0.348 0.250 0.326
Ho6 Ho 0.425 0.250 0.638
Er1 Er 0.025 0.750 0.868
Er2 Er 0.099 0.250 0.721
Er3 Er 0.272 0.750 0.472
In1 In 0.468 0.750 0.083
```

Calculated values
* distance to the lowest polymorph of the same formula: 0 kJ/mol of formula units
* calculated volume: 30.3 Å³ per atom
* crystal system: monoclinic
* total energy: -4.463 eV/atom
* calculated formation energy: -0.07 eV per atom

---

A plane-wave DFT calculation with GGA-PBE was carried out for a relaxed Ho4ErIn crystal.

CIF file:
```
data_Ho4ErIn
_chemical_formula_sum 'Ho4 Er1 In1'
_cell_length_a 3.539
_cell_length_b 3.539
_cell_length_c 14.183
_cell_angle_alpha 90.00
_cell_angle_beta 90.00
_cell_angle_gamma 90.00
_space_group_name_H-M_alt 'P 4/m m m'
_space_group_IT_number 123
_space_group_name_Hall '-P 4 2'
loop_
_atom_site_label
_atom_site_type_symbol
_atom_site_fract_x
_atom_site_fract_y
_atom_site_fract_z
Ho1 Ho 0.000 0.000 0.149
Ho2 Ho 0.500 0.500 0.325
Er1 Er 0.000 0.000 0.500
In1 In 0.500 0.500 0.000
```

Calculated values
* distance to the lowest polymorph of the same formula: 0 kJ/mol of formula units
* calculated volume: 29.6 Å³ per atom
* crystal system: tetragonal
* total energy: -4.418 eV/atom
* calculated formation energy: -0.15 eV per atom

---

Q: Look up the calculated volume of the fourth one.
A: 29.9 Å³ per atom

---

Q: What is the formula in the second record?
A: Ho8Er3In2

---

Q: What is the total energy in the first record?
A: -4.110 eV/atom